1.
Material: Sc3CdC
Method: DFT, PBE
State: relaxed

Calculated values
Uncorrected energy = -5.9689 eV per atom
ΔE_f = -0.14 eV/atom
Total magnetic moment = 0.0 μB per cell

Cell: 16.4764 7.4193 7.4193 Å, 151.84 147.50 32.50°
Last column: nearest neighbours and their distance in Å.
Sites, in units of the cell vectors:
Sc (0.1905, 0.8264, 0.1736)  1 C 2.19
Sc (0.8095, 0.1736, 0.8264)  1 C 2.19
Sc (0.0388, 0.2979, 0.7021)  2 C 2.15
Sc (0.9612, 0.7021, 0.2979)  2 C 2.15
Sc (0.3515, 0.8566, 0.1434)  1 C 2.12
Sc (0.6485, 0.1434, 0.8566)  1 C 2.12
C (0.8954, 0.9441, 0.0559)  4 Sc 2.12-2.19
C (0.1046, 0.0559, 0.9441)  4 Sc 2.12-2.19
Cd (0.5689, 0.0231, 0.9769)  1 Cd 2.87, 5 Sc 2.95-3.10
Cd (0.4311, 0.9769, 0.0231)  1 Cd 2.87, 5 Sc 2.95-3.10

***

2.
Material: CoPPt2
Method: DFT, PBE
State: relaxed

Calculated values
Uncorrected energy = -6.2781 eV per atom
ΔE_f = -0.13 eV/atom
Total magnetic moment = 1.2 μB per cell

Cell: 5.1476 5.1476 5.1476 Å, 147.36 130.75 60.34°
Last column: nearest neighbours and their distance in Å.
Sites, in units of the cell vectors:
Co (0.5540, 0.5540, 0.0000)  2 P 2.21
P (0.7421, 0.2421, 0.5000)  2 Co 2.21, 2 Pt 2.39
Pt (0.9564, 0.9564, 0.0000)  2 P 2.39
Pt (0.2474, 0.7474, 0.5000)  4 P 2.59, 2 Co 2.75, 4 Pt 2.84-2.89

***

3.
Material: SmCdHg5
Method: DFT, PBE
State: relaxed

Calculated values
Uncorrected energy = -1.2350 eV per atom
ΔE_f = -0.21 eV/atom
Total magnetic moment = 0.0 μB per cell

Cell: 4.9316 4.9316 7.4270 Å, 90.00 90.00 90.00°
Last column: nearest neighbours and their distance in Å.
Sites, in units of the cell vectors:
Sm (0.0000, 0.0000, 0.0000)  12 Hg 3.23-3.49
Cd (0.0000, 0.0000, 0.5000)  8 Hg 2.96
Hg (0.5000, 0.0000, 0.7198)  2 Cd 2.96, 3 Hg 3.23-3.27, 2 Sm 3.23
Hg (0.0000, 0.5000, 0.7198)  2 Cd 2.96, 3 Hg 3.23-3.27, 2 Sm 3.23
Hg (0.5000, 0.5000, 0.0000)  8 Hg 3.23, 4 Sm 3.49
Hg (0.0000, 0.5000, 0.2802)  2 Cd 2.96, 3 Hg 3.23-3.27, 2 Sm 3.23
Hg (0.5000, 0.0000, 0.2802)  2 Cd 2.96, 3 Hg 3.23-3.27, 2 Sm 3.23

***

4.
Material: ReBr2
Method: DFT, PBE
State: relaxed

Calculated values
Uncorrected energy = -5.2598 eV per atom
Total magnetic moment = 0.0 μB per cell
Formation energy (no corrections) = 0.0049 eV/atom

Cell: 7.1924 7.1924 7.7863 Å, 69.56 69.56 30.09°
Last column: nearest neighbours and their distance in Å.
Sites, in units of the cell vectors:
Re (0.9830, 0.9830, 0.6537)  1 Re 2.27
Re (0.0170, 0.0170, 0.3463)  1 Re 2.27
Br (0.3513, 0.3513, 0.7697)  2 Re 2.54
Br (0.5978, 0.5978, 0.6919)  2 Re 2.54
Br (0.6487, 0.6487, 0.2303)  2 Re 2.54
Br (0.4022, 0.4022, 0.3081)  2 Re 2.54

***

5.
Material: YCrOs2
Method: DFT, PBE
State: relaxed

Calculated values
Uncorrected energy = -9.1308 eV per atom
ΔE_f = 0.51 eV/atom
Total magnetic moment = 0.0 μB per cell

Cell: 7.2477 7.2477 5.8137 Å, 51.44 51.44 90.00°
Last column: nearest neighbours and their distance in Å.
Sites, in units of the cell vectors:
Y (0.0000, 0.0000, 0.0000)  2 Cr 2.74, 8 Os 2.99-3.06
Y (0.7500, 0.2500, 0.5000)  2 Cr 2.74, 8 Os 2.99-3.06
Cr (0.5000, 0.5000, 0.0000)  4 Os 2.36
Cr (0.2500, 0.7500, 0.5000)  4 Os 2.36
Os (0.5611, 0.1250, 0.2500)  2 Cr 2.36
Os (0.1889, 0.6250, 0.2500)  2 Cr 2.36
Os (0.3750, 0.4389, 0.7500)  2 Cr 2.36
Os (0.8750, 0.8111, 0.7500)  2 Cr 2.36

***

6.
Material: BaZr2Fe
Method: DFT, PBE
State: relaxed

Calculated values
Uncorrected energy = -6.0365 eV per atom
ΔE_f = 0.83 eV/atom
Total magnetic moment = 2.7 μB per cell

Cell: 4.9778 4.4328 4.4328 Å, 90.00 90.00 90.00°
Last column: nearest neighbours and their distance in Å.
Sites, in units of the cell vectors:
Ba (0.5000, 0.5000, 0.0000)  4 Fe 3.13, 8 Zr 3.33
Fe (0.5000, 0.0000, 0.5000)  4 Ba 3.13, 8 Zr 3.33
Zr (0.0000, 0.0000, 0.0000)  4 Zr 3.13, 4 Fe 3.33, 4 Ba 3.33
Zr (0.0000, 0.5000, 0.5000)  4 Zr 3.13, 4 Fe 3.33, 4 Ba 3.33